## Cs2HPdI (PBE)

Data for crystalline Cs2HPdI at its relaxed geometry.

Cell: 6.707 6.707 3.801 Å, 90.00 90.00 90.00°
Space group P4/mmm (No. 123)
One atom of each set of equivalent atoms:
Cs1 0.000 0.500 0.000 x2
H1 0.000 0.000 0.500 x1
Pd1 0.000 0.000 0.000 x1
I1 0.500 0.500 0.500 x1

Properties
The calculation puts the final energy at -14.619 eV per cell. The calculation puts the total magnetization at 0.0 μB/cell.